KMoRh | Alexandria via LeMat-Bulk | PBE | relaxed; symmetry = P3m1 (156); E_tot = -5.719 eV/atom; formation energy from the elements = 708 meV per atom
1.0
2.9106 0.0000 0.0000
-1.4553 2.5206 0.0000
0.0000 0.0000 8.0102
Mo Rh K
1 1 1
Direct
0.6667 0.3333 0.3826 Mo
0.3333 0.6667 0.6314 Rh
0.0000 0.0000 0.9860 K

=====

Tb2ErAl2Ga2 | Alexandria via LeMat-Bulk | PBE | relaxed; symmetry = R-3m (166); E_tot = -4.290 eV/atom; formation energy from the elements = -381 meV per atom
1.0
4.2605 0.0000 0.0000
2.1303 3.6897 0.0000
2.1303 1.2299 10.6574
Al Tb Er Ga
2 2 1 2
Direct
0.3916 0.3916 0.8252 Al
0.6084 0.6084 0.1748 Al
0.8753 0.8753 0.3741 Tb
0.1247 0.1247 0.6259 Tb
0.0000 0.0000 0.0000 Er
0.2635 0.2635 0.2095 Ga
0.7365 0.7365 0.7905 Ga

=====

Tm4TlHg | Alexandria via LeMat-Bulk | PBE | relaxed; symmetry = P4/mmm (123); E_tot = -3.499 eV/atom; formation energy from the elements = -74 meV per atom
1.0
5.0617 0.0001 -0.0018
-0.0001 5.0619 -0.0027
0.0031 0.0048 7.2027
Tm Tl Hg
4 1 1
Direct
0.5012 0.9971 0.2570 Tm
0.0012 0.4972 0.2571 Tm
0.5014 0.9975 0.7392 Tm
0.0014 0.4974 0.7392 Tm
0.5013 0.4973 0.9981 Tl
0.0013 0.9973 0.4982 Hg

=====

CaY2SiC | Alexandria via LeMat-Bulk | PBE | relaxed; symmetry = P4/mmm (123); E_tot = -6.275 eV/atom
1.0
4.8394 0.0000 0.0000
0.0000 4.8394 0.0000
0.0000 0.0000 4.8302
Y C Ca Si
2 1 1 1
Direct
0.0000 0.5000 0.0000 Y
0.5000 0.0000 0.0000 Y
0.0000 0.0000 0.0000 C
0.0000 0.0000 0.5000 Ca
0.5000 0.5000 0.5000 Si

=====

La3NdSm6Y2 | Alexandria via LeMat-Bulk | PBE | relaxed; symmetry = C2/m (12); E_tot = -5.048 eV/atom; formation energy from the elements = 18 meV per atom
1.0
-0.3815 -4.9568 -3.9162
-0.0090 -0.9042 6.2637
-11.7809 2.7984 -0.6830
Nd Sm Y La
1 6 2 3
Direct
0.0000 0.0000 0.0000 Nd
0.9182 0.5846 0.7539 Sm
0.4154 0.0818 0.2461 Sm
0.0818 0.4154 0.2461 Sm
0.5846 0.9182 0.7539 Sm
0.2516 0.2516 0.7536 Sm
0.7484 0.7484 0.2464 Sm
0.3333 0.6667 0.0000 Y
0.6667 0.3333 0.0000 Y
0.5000 0.5000 0.5000 La
0.8328 0.1672 0.5000 La
0.1672 0.8328 0.5000 La

=====

Mo2Pt2Rh3 | Alexandria via LeMat-Bulk | PBE | relaxed; symmetry = Cmmm (65); E_tot = -8.122 eV/atom; formation energy from the elements = -151 meV per atom
1.0
3.9819 0.0000 -0.6732
0.0000 2.7205 0.0000
-0.3853 0.0000 9.8337
Mo Rh Pt
2 3 2
Direct
0.8581 0.0000 0.7163 Mo
0.1419 0.0000 0.2837 Mo
0.0000 0.0000 0.0000 Rh
0.5682 0.5000 0.1363 Rh
0.4318 0.5000 0.8637 Rh
0.7064 0.5000 0.4129 Pt
0.2936 0.5000 0.5871 Pt

=====

Be3BPd | Alexandria via LeMat-Bulk | PBE | relaxed; symmetry = Pm-3m (221); E_tot = -4.583 eV/atom; formation energy from the elements = 27 meV per atom
1.0
3.6585 0.0000 0.0000
0.0000 3.6585 0.0000
0.0000 0.0000 3.6585
Be B Pd
3 1 1
Direct
0.0000 0.5000 0.0000 Be
0.0000 0.0000 0.5000 Be
0.5000 0.0000 0.0000 Be
0.0000 0.0000 0.0000 B
0.5000 0.5000 0.5000 Pd